4
Lattice="1.4394 0.8310 8.5709 -1.4394 0.8310 8.5709 0.0000 -1.6620 8.5709" Properties=species:S:1:pos:R:3 comment="Ta2CrRu, relaxed, DFT PBEsol" dos_at_fermi_per_ev_cell=4.39 spacegroup=R3m relative_energy_mev_per_atom=551.6 energy_ev_per_cell=-44.426 formation_enthalpy_0k_ev_per_fu=1.091 pbc="T T T"
Ta 0.0000 0.0000 0.0000
Ta 0.0000 0.0000 6.1453
Cr 0.0000 0.0000 12.6428
Ru 0.0000 0.0000 19.3584